Entry from Alexandria: an optimized crystal structure of Hf4ScN4 (PBE-GGA).

For the electronic total energy, the calculation gives -10.458 eV/atom. Its density of states at the Fermi level is 3.40 states/eV per cell. The calculation puts the spin magnetization at 0.000 μB/atom. As for the formation energy from raw total energies: -157.32 kJ/mol of atoms. The symmetry is I4/m.

Cell: 4.5159 5.5710 5.5742 Å, 80.57 66.10 66.09°
Closest atoms and distances in Å follow each position.
Positions (direct):
Hf  0.6107  0.5786  0.1999  5 N 2.17-2.31
Hf  0.3893  0.4214  0.8001  5 N 2.17-2.31
Hf  0.1894  0.1999  0.4214  5 N 2.17-2.31
Hf  0.8106  0.8001  0.5786  5 N 2.17-2.31
Sc  0.0000  0.0000  0.0000  4 N 2.29-2.30
N  0.9002  0.4027  0.7969  5 Hf 2.17-2.31, 1 Sc 2.30
N  0.0998  0.5973  0.2031  5 Hf 2.17-2.31, 1 Sc 2.30
N  0.3024  0.7970  0.5981  5 Hf 2.17-2.31, 1 Sc 2.29
N  0.6976  0.2030  0.4019  5 Hf 2.17-2.31, 1 Sc 2.29

Entry from Alexandria: an optimized crystal structure of PmTm4Cd (PBE-GGA).

For the electronic total energy, the calculation gives -3.869 eV/atom. As for the formation energy from the elements: 0.06 eV per atom. Its density of states at the Fermi level is 15.30 states/eV per cell. The calculation puts the spin magnetization at 0.000 μB/atom. The symmetry is Cmc2_1.

Cell: 5.4802 6.4480 10.7306 Å, 90.00 104.79 90.00°
Closest atoms and distances in Å follow each position.
Positions (direct):
Pm  0.9381  0.7704  0.8762  2 Cd 3.31, 6 Tm 3.47-3.66
Pm  0.0619  0.2704  0.1238  2 Cd 3.31, 6 Tm 3.47-3.66
Tm  0.8610  0.2591  0.7220  2 Cd 3.28, 7 Tm 3.39-3.66, 2 Pm 3.53-3.66
Tm  0.1390  0.7591  0.2780  2 Cd 3.28, 7 Tm 3.39-3.66, 2 Pm 3.53-3.66
Tm  0.4603  0.0929  0.9205  2 Cd 2.99-3.01, 1 Tm 3.18
Tm  0.5397  0.5929  0.0795  2 Cd 2.99-3.01, 1 Tm 3.18
Tm  0.6821  0.4103  0.3642  1 Cd 3.04, 4 Tm 3.13-3.34
Tm  0.3179  0.9103  0.6358  1 Cd 3.04, 4 Tm 3.13-3.34
Tm  0.7455  0.8867  0.4910  1 Cd 3.08, 4 Tm 3.13-3.39
Tm  0.2545  0.3867  0.5090  1 Cd 3.08, 4 Tm 3.13-3.39
Cd  0.6024  0.0138  0.2048  6 Tm 2.99-3.28, 2 Pm 3.31
Cd  0.3976  0.5138  0.7952  6 Tm 2.99-3.28, 2 Pm 3.31

Entry from Alexandria: an optimized crystal structure of YMgMn2 (PBE-GGA).

For the electronic total energy, the calculation gives -6.272 eV/atom. As for the formation energy from the elements: 0.33 eV per atom. Its density of states at the Fermi level is 4.89 states/eV per cell. The calculation puts the spin magnetization at 1.610 μB/atom. The symmetry is Cmmm.

Cell: 4.7486 7.5976 3.5444 Å, 62.20 89.99 128.75°
Closest atoms and distances in Å follow each position.
Positions (direct):
Mg  0.5000  0.0000  0.5000  8 Mn 2.96
Mn  0.0000  0.0000  0.0000  4 Y 2.96, 4 Mg 2.96
Mn  0.0000  0.5000  0.5000  4 Mg 2.96, 4 Y 2.96
Y  0.5000  0.5000  0.0000  8 Mn 2.96

Entry from Alexandria: an optimized crystal structure of Sm4Tl2H (PBE-GGA).

For the electronic total energy, the calculation gives -4.192 eV/atom. Its density of states at the Fermi level is 10.31 states/eV per cell. The calculation puts the spin magnetization at 0.000 μB/atom. The symmetry is P2_1/m.

Cell: 6.3426 6.8481 9.4771 Å, 90.00 111.53 90.00°
Closest atoms and distances in Å follow each position.
Positions (direct):
Sm  0.5327  0.4994  0.2711  1 H 2.31
Sm  0.1114  0.7500  0.9303  1 H 2.35
Sm  0.8886  0.2500  0.0697  1 H 2.35
Sm  0.5327  0.0006  0.2711  1 H 2.31
Sm  0.9124  0.2500  0.6293  1 H 2.34
Sm  0.4673  0.9994  0.7289  1 H 2.31
Sm  0.4673  0.5006  0.7289  1 H 2.31
Sm  0.0876  0.7500  0.3707  1 H 2.34
Tl  0.6958  0.7500  0.0414  7 Sm 3.18-3.46, 2 H 3.39-3.51
Tl  0.3042  0.2500  0.9586  7 Sm 3.18-3.46, 2 H 3.39-3.51
Tl  0.2080  0.2500  0.4174  8 Sm 3.17-3.50
Tl  0.7920  0.7500  0.5826  8 Sm 3.17-3.50
H  0.2708  0.7500  0.1966  4 Sm 2.31-2.35
H  0.7292  0.2500  0.8034  4 Sm 2.31-2.35

Entry from Alexandria: an optimized crystal structure of CaZnRh2 (PBE-GGA).

For the electronic total energy, the calculation gives -4.709 eV/atom. As for the formation energy from the elements: -0.21 eV per atom. Its density of states at the Fermi level is 3.35 states/eV per cell. The calculation puts the spin magnetization at 0.000 μB/atom. The symmetry is Imm2.

Cell: 5.5712 5.5712 5.5712 Å, 147.87 132.03 58.92°
Closest atoms and distances in Å follow each position.
Positions (direct):
Zn  0.4752  0.4752  0.0000  6 Rh 2.67-2.78
Rh  0.0215  0.0215  0.0000  2 Rh 2.70, 4 Zn 2.78, 2 Ca 3.03
Rh  0.2502  0.7502  0.5000  2 Zn 2.67, 2 Rh 2.70, 4 Ca 2.74
Ca  0.7531  0.2531  0.5000  6 Rh 2.74-3.03

Entry from Alexandria: an optimized crystal structure of Ba2CaAg (PBE-GGA).

For the electronic total energy, the calculation gives -2.243 eV/atom. As for the formation energy from the elements: -0.07 eV per atom. Its density of states at the Fermi level is 4.36 states/eV per cell. The calculation puts the spin magnetization at 0.000 μB/atom. The symmetry is Amm2.

Cell: 4.3802 5.4233 8.2047 Å, 70.68 90.00 90.00°
Closest atoms and distances in Å follow each position.
Positions (direct):
Ca  0.0000  0.6750  0.5247  2 Ag 3.12
Ba  0.0000  0.9855  0.9042  4 Ag 3.56
Ba  0.5000  0.3076  0.2595  1 Ag 3.47
Ag  0.5000  0.5319  0.8115  2 Ca 3.12, 1 Ba 3.47

Entry from Alexandria: an optimized crystal structure of TmTlCuPd (PBE-GGA).

For the electronic total energy, the calculation gives -4.423 eV/atom. As for the formation energy from the elements: -0.39 eV per atom. Its density of states at the Fermi level is 3.39 states/eV per cell. The calculation puts the spin magnetization at 0.000 μB/atom. The symmetry is F-43m.

Cell: 4.7719 4.7719 4.7719 Å, 60.00 60.00 60.00°
Closest atoms and distances in Å follow each position.
Positions (direct):
Tl  0.0000  0.0000  0.0000  4 Cu 2.92, 4 Pd 2.92
Tm  0.5000  0.5000  0.5000  4 Pd 2.92, 4 Cu 2.92
Cu  0.7500  0.7500  0.7500  4 Tl 2.92, 4 Tm 2.92
Pd  0.2500  0.2500  0.2500  4 Tl 2.92, 4 Tm 2.92

Entry from Alexandria: an optimized crystal structure of Ba3Sr12Hg (PBE-GGA).

For the electronic total energy, the calculation gives -1.658 eV/atom. As for the formation energy from the elements: -0.02 eV per atom. Its density of states at the Fermi level is 19.21 states/eV per cell. The calculation puts the spin magnetization at 0.000 μB/atom. The symmetry is P4/mmm.

Cell: 6.0688 6.0688 22.9569 Å, 90.00 90.00 90.00°
Closest atoms and distances in Å follow each position.
Positions (direct):
Ba  0.0000  0.0000  0.2340  12 Sr 4.29-4.36
Ba  0.0000  0.0000  0.5000  12 Sr 4.29-4.32
Ba  0.0000  0.0000  0.7660  12 Sr 4.29-4.36
Sr  0.5000  0.5000  0.0000  8 Sr 3.77
Sr  0.5000  0.5000  0.2283  8 Sr 4.26-4.38, 4 Ba 4.29
Sr  0.5000  0.5000  0.5000  4 Ba 4.29, 8 Sr 4.32
Sr  0.5000  0.5000  0.7717  8 Sr 4.26-4.38, 4 Ba 4.29
Sr  0.5000  0.0000  0.0978  2 Sr 3.77, 2 Hg 3.77
Sr  0.5000  0.0000  0.3660  4 Ba 4.29-4.32, 8 Sr 4.29-4.38
Sr  0.5000  0.0000  0.6340  4 Ba 4.29-4.32, 8 Sr 4.29-4.38
Sr  0.5000  0.0000  0.9022  2 Sr 3.77, 2 Hg 3.77
Sr  0.0000  0.5000  0.0978  2 Hg 3.77, 2 Sr 3.77
Sr  0.0000  0.5000  0.3660  4 Ba 4.29-4.32, 8 Sr 4.29-4.38
Sr  0.0000  0.5000  0.6340  4 Ba 4.29-4.32, 8 Sr 4.29-4.38
Sr  0.0000  0.5000  0.9022  2 Hg 3.77, 2 Sr 3.77
Hg  0.0000  0.0000  0.0000  8 Sr 3.77

Entry from Alexandria: an optimized crystal structure of Zr3Ag5 (PBE-GGA).

For the electronic total energy, the calculation gives -4.921 eV/atom. As for the formation energy from the elements: 0.07 eV per atom. Its density of states at the Fermi level is 7.26 states/eV per cell. The calculation puts the spin magnetization at 0.000 μB/atom. The symmetry is Cmmm.

Cell: 6.1217 6.1217 4.2252 Å, 90.00 90.00 93.41°
Closest atoms and distances in Å follow each position.
Positions (direct):
Zr  0.5000  0.5000  0.0000  4 Zr 3.01, 8 Ag 3.04-3.06
Zr  0.7407  0.2593  0.5000  10 Ag 2.98-3.13, 2 Zr 3.01
Zr  0.2593  0.7407  0.5000  10 Ag 2.98-3.13, 2 Zr 3.01
Ag  0.0000  0.0000  0.0000  8 Ag 2.92-3.06, 4 Zr 3.13
Ag  0.5000  0.0000  0.0000  6 Zr 2.98-3.06, 6 Ag 3.06-3.07
Ag  0.0000  0.5000  0.0000  6 Zr 2.98-3.06, 6 Ag 3.06-3.07
Ag  0.7604  0.7604  0.5000  6 Ag 2.92-3.07, 6 Zr 3.04-3.06
Ag  0.2396  0.2396  0.5000  6 Ag 2.92-3.07, 6 Zr 3.04-3.06

Entry from Alexandria: an optimized crystal structure of Ba8SrLi2 (PBE-GGA).

For the electronic total energy, the calculation gives -1.822 eV/atom. As for the formation energy from the elements: 0.08 eV per atom. Its density of states at the Fermi level is 13.90 states/eV per cell. The calculation puts the spin magnetization at 0.000 μB/atom. The symmetry is C2/m.

Cell: 6.9796 10.0751 10.0751 Å, 112.42 98.55 98.55°
Closest atoms and distances in Å follow each position.
Positions (direct):
Ba  0.9127  0.9307  0.6736  2 Li 3.71-3.80
Ba  0.9127  0.6736  0.9307  2 Li 3.71-3.80
Ba  0.3075  0.6109  0.6109  2 Li 3.77, 1 Ba 4.12, 1 Sr 4.21
Ba  0.5000  0.7494  0.2506  2 Li 3.66
Ba  0.5000  0.2506  0.7494  2 Li 3.66
Ba  0.6925  0.3891  0.3891  2 Li 3.77, 1 Ba 4.12, 1 Sr 4.21
Ba  0.0873  0.3264  0.0693  2 Li 3.71-3.80
Ba  0.0873  0.0693  0.3264  2 Li 3.71-3.80
Sr  0.5000  0.0000  0.0000  12 Ba 4.20-4.64
Li  0.0000  0.3164  0.6836  8 Ba 3.66-3.80
Li  0.0000  0.6836  0.3164  8 Ba 3.66-3.80

Entry from Alexandria: an optimized crystal structure of LiCeH6Ru (PBE-GGA).

For the electronic total energy, the calculation gives -4.481 eV/atom. Its density of states at the Fermi level is 5.42 states/eV per cell. The calculation puts the spin magnetization at 0.074 μB/atom. The symmetry is P-6m2.

Cell: 4.5679 4.5679 4.3941 Å, 90.00 90.00 60.00°
Closest atoms and distances in Å follow each position.
Positions (direct):
Li  0.6666  0.6667  0.5000  6 H 1.84
Ce  0.0000  0.0000  0.0000  12 H 2.50
H  0.0231  0.4883  0.2315  1 Ru 1.70, 1 Li 1.84
H  0.4883  0.0232  0.7685  1 Ru 1.70, 1 Li 1.84
H  0.4884  0.4883  0.7685  1 Ru 1.70, 1 Li 1.84
H  0.0232  0.4885  0.7685  1 Ru 1.70, 1 Li 1.84
H  0.4883  0.4885  0.2315  1 Ru 1.70, 1 Li 1.84
H  0.4885  0.0231  0.2315  1 Ru 1.70, 1 Li 1.84
Ru  0.3333  0.3333  0.4999  6 H 1.70

Entry from Alexandria: an optimized crystal structure of LaNi2PRh (PBE-GGA).

For the electronic total energy, the calculation gives -4.405 eV/atom. As for the formation energy from the elements: 1.45 eV per atom. Its density of states at the Fermi level is 4.62 states/eV per cell. The calculation puts the spin magnetization at 0.000 μB/atom. The symmetry is P4/mmm.

Cell: 4.5582 5.2417 4.5582 Å, 90.00 90.00 90.00°
Closest atoms and distances in Å follow each position.
Positions (direct):
Ni  0.0000  0.0000  0.5000  2 La 2.28
Ni  0.5000  0.0000  0.0000  2 La 2.28
Rh  0.5000  0.5000  0.5000  4 P 3.22, 8 Ni 3.47
P  0.0000  0.5000  0.0000  2 La 2.62
La  0.0000  0.0000  0.0000  4 Ni 2.28